Entry 1:
# Li3ScIn3, relaxed, DFT PBE
data_Li3ScIn3
_chemical_formula_sum 'Li6 Sc2 In6'
_cell_length_a 7.055
_cell_length_b 7.055
_cell_length_c 7.055
_cell_angle_alpha 90.00
_cell_angle_beta 90.00
_cell_angle_gamma 90.00
_symmetry_space_group_name_H-M 'P 1'
_symmetry_Int_Tables_number 1
loop_
_symmetry_equiv_pos_as_xyz
'x,y,z'
loop_
_atom_site_label
_atom_site_type_symbol
_atom_site_fract_x
_atom_site_fract_y
_atom_site_fract_z
_atom_site_occupancy
Li1 Li 0.000 0.250 0.500 1
Li2 Li 0.000 0.750 0.500 1
Li3 Li 0.250 0.500 0.000 1
Li4 Li 0.500 0.000 0.250 1
Li5 Li 0.500 0.000 0.750 1
Li6 Li 0.750 0.500 0.000 1
Sc1 Sc 0.000 0.000 0.000 1
Sc2 Sc 0.500 0.500 0.500 1
In1 In 0.000 0.500 0.250 1
In2 In 0.000 0.500 0.750 1
In3 In 0.250 0.000 0.500 1
In4 In 0.500 0.250 0.000 1
In5 In 0.500 0.750 0.000 1
In6 In 0.750 0.000 0.500 1
# VASP energy = -2.52 eV/atom

Entry 2:
# Li2ScIn2, relaxed, DFT PBE
data_Li2ScIn2
_chemical_formula_sum 'Li2 Sc1 In2'
_cell_length_a 7.474
_cell_length_b 7.474
_cell_length_c 7.474
_cell_angle_alpha 149.72
_cell_angle_beta 149.72
_cell_angle_gamma 43.35
_symmetry_space_group_name_H-M 'P 1'
_symmetry_Int_Tables_number 1
loop_
_symmetry_equiv_pos_as_xyz
'x,y,z'
loop_
_atom_site_label
_atom_site_type_symbol
_atom_site_fract_x
_atom_site_fract_y
_atom_site_fract_z
_atom_site_occupancy
Li1 Li 0.250 0.750 0.500 1
Li2 Li 0.750 0.250 0.500 1
Sc1 Sc 0.000 0.000 0.000 1
In1 In 0.394 0.394 0.000 1
In2 In 0.606 0.606 0.000 1
# offset from the most stable computed form = 103.2 meV per atom